[1]
# ZnMo2H2

A relaxed ZnMo2H2 crystal (GGA-PBE, the Alexandria database).

E_tot ... -5.87 eV per atom

POSCAR file:
```
ZnMo2H2
1.0
3.3570 0.0000 0.0000
0.0000 3.3570 0.0000
1.6785 1.6785 4.5461
H Mo Zn
2 2 1
direct
0.2500 0.7500 0.5000
0.7500 0.2500 0.5000
0.3443 0.3443 0.3114
0.6557 0.6557 0.6886
0.0000 0.0000 0.0000
```

=====

[2]
# PmNdCoOs

A relaxed PmNdCoOs crystal (GGA-PBE, the Alexandria database).

Offset from the most stable computed form ... 183 meV per atom
E_tot ... -6.86 eV per atom
Energy of formation ... 2.4 kcal/mol of atoms

POSCAR file:
```
PmNdCoOs
1.0
4.9472 0.0000 0.0000
2.4736 4.2844 0.0000
2.4736 1.4281 4.0394
Pm Co Os Nd
1 1 1 1
direct
0.5000 0.5000 0.5000
0.7500 0.7500 0.7500
0.2500 0.2500 0.2500
0.0000 0.0000 0.0000
```

=====

[3]
# CdGa2Pb

A relaxed CdGa2Pb crystal (GGA-PBE, the Alexandria database).

Offset from the most stable computed form ... 0 meV per atom
E_tot ... -2.59 eV per atom
Energy of formation ... 1.7 kcal/mol of atoms

POSCAR file:
```
CdGa2Pb
1.0
-1.5778 1.1107 2.9330
0.3665 -3.1955 1.4073
6.8346 2.0596 2.8968
Pb Cd Ga
1 1 2
direct
0.5000 0.5000 0.5000
0.5000 0.5000 0.0000
0.0000 0.0000 0.2222
0.0000 0.0000 0.7778
```

=====

Q: Which value of E_tot does entry 1 give?
A: -5.87 eV per atom